No. 1
# LaPr2ErS4

Crystalline LaPr2ErS4 at its relaxed geometry (PBE, the Alexandria database).

a = 4.014 Å, b = 7.075 Å, c = 7.054 Å
α = 108.88°, β = 90.00°, γ = 90.00°
Sites, in units of the cell vectors:
1 Pr 0.500 0.000 0.500
2 Pr 0.000 0.500 0.500
3 S 0.500 0.740 0.757
4 S 0.500 0.260 0.243
5 S 0.000 0.267 0.766
6 S 0.000 0.733 0.234
7 La 0.000 0.000 0.000
8 Er 0.500 0.500 0.000

E_form (uncorrected) in eV per atom: -2.033
Volume in Å³/cell: 189.55
E in eV per atom: -6.4781
Spin magnetization in μB/f.u.: 0.00

=====

No. 2
# HfRe3Si

Crystalline HfRe3Si at its relaxed geometry (PBE, the Alexandria database).

a = 4.435 Å, b = 4.435 Å, c = 4.435 Å
α = 90.00°, β = 90.00°, γ = 90.00°
Sites, in units of the cell vectors:
1 Hf 0.500 0.500 0.500
2 Si 0.000 0.000 0.000
3 Re 0.500 0.000 0.000
4 Re 0.000 0.500 0.000
5 Re 0.000 0.000 0.500

E_form (uncorrected) in eV per atom: 0.648
Volume in Å³/cell: 87.25
E in eV per atom: -9.8957
Spin magnetization in μB/f.u.: 0.00

=====

No. 3
# CuPtAu2

Crystalline CuPtAu2 at its relaxed geometry (PBE, the Alexandria database).

a = 4.753 Å, b = 4.753 Å, c = 2.988 Å
α = 90.00°, β = 90.00°, γ = 107.07°
Sites, in units of the cell vectors:
1 Cu 0.500 0.000 0.500
2 Pt 0.000 0.500 0.500
3 Au 0.000 0.000 0.000
4 Au 0.500 0.500 0.000

Energy of formation in eV/atom: -0.020
Volume in Å³/cell: 64.51
E in eV per atom: -4.1932
Spin magnetization in μB/f.u.: 0.00

=====

No. 4
# FeSiRu2

Crystalline FeSiRu2 at its relaxed geometry (PBE, the Alexandria database).

a = 4.337 Å, b = 4.337 Å, c = 4.774 Å
α = 77.85°, β = 77.85°, γ = 37.20°
Last column: magnetic moment on the atom in μB.
Sites, in units of the cell vectors:
1 Fe 0.750 0.750 0.750  2.63
2 Ru 0.991 0.991 0.003  0.19
3 Ru 0.509 0.509 0.497  0.19
4 Si 0.250 0.250 0.250  -0.02

E_form (uncorrected) in eV per atom: -0.122
Volume in Å³/cell: 52.94
E in eV per atom: -8.2315
Spin magnetization in μB/f.u.: 3.02

=====

No. 5
# K2LaCl

Crystalline K2LaCl at its relaxed geometry (PBE, the Alexandria database).

a = 8.026 Å, b = 8.026 Å, c = 8.026 Å
α = 146.22°, β = 146.22°, γ = 48.52°
Last column: magnetic moment on the atom in μB.
Sites, in units of the cell vectors:
1 La 0.250 0.750 0.500  0.30
2 Cl 0.750 0.250 0.500  0.00
3 K 0.500 0.500 0.000  0.01
4 K 0.000 0.000 0.000  0.01

E_form (uncorrected) in eV per atom: -0.183
Volume in Å³/cell: 159.14
E in eV per atom: -2.4253
Spin magnetization in μB/f.u.: 0.69

=====

No. 6
# ScTlInSe2

Crystalline ScTlInSe2 at its relaxed geometry (PBE, the Alexandria database).

a = 5.320 Å, b = 5.453 Å, c = 5.320 Å
α = 90.00°, β = 90.00°, γ = 90.00°
Sites, in units of the cell vectors:
1 Tl 0.000 0.500 0.000
2 In 0.000 0.000 0.000
3 Se 0.500 0.000 0.000
4 Se 0.000 0.000 0.500
5 Sc 0.500 0.500 0.500

E_form (uncorrected) in eV per atom: 0.267
Volume in Å³/cell: 154.33
E in eV per atom: -3.4142
Spin magnetization in μB/f.u.: 0.00

=====

No. 7
# AcSmPb2

Crystalline AcSmPb2 at its relaxed geometry (PBE, the Alexandria database).

a = 5.285 Å, b = 5.285 Å, c = 6.520 Å
α = 66.09°, β = 66.09°, γ = 60.00°
Sites, in units of the cell vectors:
1 Sm 0.500 0.500 0.500
2 Pb 0.240 0.240 0.280
3 Pb 0.760 0.760 0.720
4 Ac 0.000 0.000 0.000

Energy of formation in eV/atom: -0.456
Volume in Å³/cell: 139.39
E in eV per atom: -4.5170
Spin magnetization in μB/f.u.: 0.00

=====

No. 8
# BiSb3P

Crystalline BiSb3P at its relaxed geometry (PBE, the Alexandria database).

a = 5.247 Å, b = 5.247 Å, c = 5.247 Å
α = 90.00°, β = 90.00°, γ = 90.00°
Sites, in units of the cell vectors:
1 Bi 0.500 0.500 0.500
2 Sb 0.500 0.000 0.000
3 Sb 0.000 0.000 0.500
4 Sb 0.000 0.500 0.000
5 P 0.000 0.000 0.000

E_form (uncorrected) in eV per atom: 0.471
Volume in Å³/cell: 144.48
E in eV per atom: -3.8604
Spin magnetization in μB/f.u.: 0.00

=====

Copy entry 6 word for word.
# ScTlInSe2

Crystalline ScTlInSe2 at its relaxed geometry (PBE, the Alexandria database).

a = 5.320 Å, b = 5.453 Å, c = 5.320 Å
α = 90.00°, β = 90.00°, γ = 90.00°
Sites, in units of the cell vectors:
1 Tl 0.000 0.500 0.000
2 In 0.000 0.000 0.000
3 Se 0.500 0.000 0.000
4 Se 0.000 0.000 0.500
5 Sc 0.500 0.500 0.500

E_form (uncorrected) in eV per atom: 0.267
Volume in Å³/cell: 154.33
E in eV per atom: -3.4142
Spin magnetization in μB/f.u.: 0.00

=====

Question: Among the records above, which one has the highest spin magnetization?
Answer: FeSiRu2